Crystalline LaTc2Sb at its relaxed geometry, computed with PBE.

Output
* space-group type: R-3m, No. 166

a b c (Å): 8.4545 8.4545 8.4545
angles (deg): 23.35 23.35 23.35
Closest atoms and distances in Å follow each position.
Fractional positions:
Tc: 0.0079 0.0079 0.0079  3 Sb 2.71, 3 La 2.99
Tc: 0.4921 0.4921 0.4921  3 Sb 2.71, 3 La 2.99
Sb: 0.7500 0.7500 0.7500  6 Tc 2.71
La: 0.2500 0.2500 0.2500  6 Tc 2.99

---

Crystalline LaTc2Sb at its relaxed geometry, computed with PBE.

Output
* space-group type: R3m, No. 160

a b c (Å): 9.7553 9.7553 9.7553
angles (deg): 18.64 18.64 18.64
Closest atoms and distances in Å follow each position.
Fractional positions:
La: 0.5063 0.5063 0.5063  6 La 3.16, 3 Tc 3.18, 3 Sb 3.47
Sb: 0.7370 0.7370 0.7370  3 Tc 2.87, 6 Sb 3.16
Tc: 0.9931 0.9931 0.9931  3 Tc 2.57, 3 Sb 2.87
Tc: 0.2636 0.2636 0.2636  3 Tc 2.57

---

Crystalline LaTc2Sb at its relaxed geometry, computed with PBE.

Output
* space-group type: I-42d, No. 122

a b c (Å): 4.5300 4.5300 10.0693
angles (deg): 77.00 77.00 90.00
Closest atoms and distances in Å follow each position.
Fractional positions:
La: 0.0000 0.0000 0.0000  4 Tc 3.16, 4 Sb 3.20
La: 0.7500 0.2500 0.5000  4 Tc 3.16, 4 Sb 3.20
Tc: 0.3750 0.5063 0.7500  2 Tc 2.51, 2 Sb 2.70
Tc: 0.2563 0.6250 0.2500  2 Tc 2.51, 2 Sb 2.70
Tc: 0.8750 0.7437 0.7500  2 Tc 2.51, 2 Sb 2.70
Tc: 0.4937 0.1250 0.2500  2 Tc 2.51, 2 Sb 2.70
Sb: 0.2500 0.7500 0.5000  4 Tc 2.70
Sb: 0.5000 0.5000 0.0000  4 Tc 2.70

---

Crystalline La4TcSb at its relaxed geometry, computed with PBE.

Output
* space-group type: F-43m, No. 216
* energy relative to the lowest polymorph listed for this composition: 0.952 eV/atom

a b c (Å): 6.3030 6.3030 6.3030
angles (deg): 60.00 60.00 60.00
Closest atoms and distances in Å follow each position.
Fractional positions:
La: 0.3746 0.3746 0.3746  6 La 3.14-3.16
La: 0.8763 0.3746 0.3746  6 La 3.14-3.16
La: 0.3746 0.3746 0.8763  6 La 3.14-3.16
La: 0.3746 0.8763 0.3746  6 La 3.14-3.16
Sb: 0.7500 0.7500 0.7500  12 La 3.70, 4 Tc 3.86
Tc: 0.0000 0.0000 0.0000  12 La 3.69, 4 Sb 3.86

---

Crystalline LaTc2Sb at its relaxed geometry, computed with PBE.

Output
* space-group type: Cm, No. 8

a b c (Å): 5.9716 5.9716 4.6855
angles (deg): 66.92 66.92 31.87
Closest atoms and distances in Å follow each position.
Fractional positions:
Tc: 0.9955 0.9955 0.0037  2 Tc 2.81, 4 La 2.86, 2 Sb 2.90
Tc: 0.2783 0.2783 0.2226  2 Tc 2.81, 4 Sb 2.91-2.92
Sb: 0.7239 0.7239 0.7766  6 Tc 2.90-2.92
La: 0.5024 0.5024 0.4971  4 Tc 2.86

---

Crystalline LaTc2Sb at its relaxed geometry, computed with PBE.

Output
* space-group type: Pmmm, No. 47

a b c (Å): 4.5436 4.2074 5.2322
angles (deg): 89.94 90.00 90.00
Closest atoms and distances in Å follow each position.
Fractional positions:
La: 0.5000 0.2500 0.2500  8 Tc 3.29, 4 Sb 3.36
Tc: 0.0000 0.7504 0.0384  1 Tc 2.21
Tc: 0.0000 0.7496 0.4616  1 Tc 2.21
Sb: 0.5000 0.7500 0.7500  4 Tc 2.73

---

Crystalline LaTcSbTe2 at its relaxed geometry, computed with PBE.

Output
* space-group type: P4/mmm, No. 123
* energy relative to the lowest polymorph listed for this composition: 0.000 eV/atom

a b c (Å): 5.4803 5.4803 4.9726
angles (deg): 90.00 90.00 90.00
Closest atoms and distances in Å follow each position.
Fractional positions:
Te: 0.0000 0.5000 0.0000  2 Tc 2.74
Te: 0.5000 0.0000 0.0000  2 Tc 2.74
Tc: 0.0000 0.0000 0.0000  2 Sb 2.49, 4 Te 2.74
Sb: 0.0000 0.0000 0.5000  2 Tc 2.49
La: 0.5000 0.5000 0.5000  8 Te 3.70, 4 Sb 3.88

---

Crystalline LaTcSbTe2 at its relaxed geometry, computed with PBE.

Output
* space-group type: P4/mmm, No. 123
* energy relative to the lowest polymorph listed for this composition: 1.126 eV/atom

a b c (Å): 6.0439 6.0439 6.1128
angles (deg): 90.00 90.00 90.00
Closest atoms and distances in Å follow each position.
Fractional positions:
La: 0.0000 0.0000 0.0000  4 Te 3.02, 2 Sb 3.06
Sb: 0.0000 0.0000 0.5000  2 La 3.06
Tc: 0.5000 0.5000 0.5000  4 Sb 4.27, 8 Te 4.30
Te: 0.0000 0.5000 0.0000  2 La 3.02
Te: 0.5000 0.0000 0.0000  2 La 3.02

---

Calculated energy in order - -6.9680; -7.0939; -7.1904; -5.1877; -7.2911; -7.2457; -5.3182; -4.1927 eV per atom
Calculated total magnetization in order - 0.000; 0.000; 0.000; 1.635; 0.000; 0.000; 1.072; 4.173 μB per formula unit